Computed, not measured: a relaxed structure of KSr2Fe at the PBE level of DFT.

a b c (Å): 4.3324 4.3324 9.7485
angles (deg): 90.00 90.00 90.00
With the nearest neighbours (Å) after each atom.
Space group P4mm (No. 99)
One atom of each set of equivalent atoms:
K (0.0000, 0.0000, 0.0000) x1  1 Sr 3.71
Sr (0.0000, 0.0000, 0.6194) x1  4 Fe 3.15
Sr (0.5000, 0.5000, 0.3553) x1  1 Fe 3.31
Fe (0.5000, 0.5000, 0.6951) x1  5 Sr 3.15-3.31

Output
Crystal system: tetragonal
Formation enthalpy at 0 K (eV/atom): 0.60
DFT total energy (eV/atom): -2.63
Calculated volume (Å³/f.u.): 183.0
M_tot (μB per formula unit): 2.82